The following is a DFT calculation (PBE-GGA) of a relaxed structure of KTlCr2.

```
data_KTlCr2
_chemical_formula_sum 'K4 Tl4 Cr8'
_cell_length_a 5.601
_cell_length_b 5.601
_cell_length_c 19.295
_cell_angle_alpha 90.00
_cell_angle_beta 90.00
_cell_angle_gamma 90.00
_space_group_name_H-M_alt 'I 41/a m d'
_space_group_IT_number 141
loop_
_space_group_symop_operation_xyz
'x,y,z'
'-x,-y,-z'
'-y+1/4,x+3/4,z+1/4'
'y+1/4,-x+3/4,-z+1/4'
'-x+1/2,-y,z+1/2'
'x+1/2,y,-z+1/2'
'y+1/4,-x+1/4,z+3/4'
'-y+1/4,x+1/4,-z+3/4'
'x,-y,-z'
'-x,y,z'
'-y+1/4,-x+1/4,-z+3/4'
'y+1/4,x+1/4,z+3/4'
'-x+1/2,y,-z+1/2'
'x+1/2,-y,z+1/2'
'y+1/4,x+3/4,-z+1/4'
'-y+1/4,-x+3/4,z+1/4'
'x+1/2,y+1/2,z+1/2'
'-x+1/2,-y+1/2,-z+1/2'
'-y+3/4,x+1/4,z+3/4'
'y+3/4,-x+1/4,-z+3/4'
'-x,-y+1/2,z'
'x,y+1/2,-z'
'y+3/4,-x+3/4,z+1/4'
'-y+3/4,x+3/4,-z+1/4'
'x+1/2,-y+1/2,-z+1/2'
'-x+1/2,y+1/2,z+1/2'
'-y+3/4,-x+3/4,-z+1/4'
'y+3/4,x+3/4,z+1/4'
'-x,y+1/2,-z'
'x,-y+1/2,z'
'y+3/4,x+1/4,-z+3/4'
'-y+3/4,-x+1/4,z+3/4'
loop_
_atom_site_label
_atom_site_fract_x
_atom_site_fract_y
_atom_site_fract_z
K1 0.000 0.250 0.375
Tl1 0.000 0.250 0.875
Cr1 0.000 0.000 0.000
```

Values from the calculation:
relative energy among the computed polymorphs	539	meV per atom

***

The following is a DFT calculation (PBE-GGA) of a relaxed structure of KTlCr2.

```
data_KTlCr2
_chemical_formula_sum 'K2 Tl2 Cr4'
_cell_length_a 3.403
_cell_length_b 5.789
_cell_length_c 10.763
_cell_angle_alpha 90.00
_cell_angle_beta 90.00
_cell_angle_gamma 90.00
_space_group_name_H-M_alt 'I m m m'
_space_group_IT_number 71
_space_group_name_Hall '-I 2 2'
loop_
_atom_site_label
_atom_site_fract_x
_atom_site_fract_y
_atom_site_fract_z
K1 0.000 0.000 0.000
Tl1 0.000 0.000 0.500
Cr1 0.000 0.500 0.216
```

Values from the calculation:
relative energy among the computed polymorphs	467	meV per atom

***

Asked for VASP energy across the records above, the calculation gives -4.613, -4.686 eV/atom in order.
Asked for formation energy across the records above, the calculation gives 1.0649, 0.9921 eV/atom in order.
Asked for size of the total moment across the records above, the calculation gives 8.9, 8.7 μB per formula unit in order.